# Pm3TmGe3

A relaxed Pm3TmGe3 crystal (PBE, Alexandria).

a b c (Å): 7.5506 7.5506 7.6121
angles (deg): 91.45 91.45 113.36
Element x y z (fractional)
Pm 0.1634 0.8366 0.0000
Pm 0.2287 0.7713 0.5000
Pm 0.3783 0.3783 0.1417
Pm 0.6217 0.6217 0.8583
Pm 0.7713 0.2287 0.5000
Pm 0.8366 0.1634 0.0000
Tm 0.2453 0.2453 0.6009
Tm 0.7547 0.7547 0.3991
Ge 0.0685 0.0685 0.2820
Ge 0.1504 0.4970 0.8003
Ge 0.4970 0.1504 0.8003
Ge 0.5030 0.8496 0.1997
Ge 0.8496 0.5030 0.1997
Ge 0.9315 0.9315 0.7180

Output
Its crystal system is monoclinic. The value obtained for the formation energy is -559 meV/atom.

***

# Cs4Pr3TmSe8

A relaxed Cs4Pr3TmSe8 crystal (PBE, Alexandria).

a b c (Å): 9.8121 9.8121 9.8121
angles (deg): 53.05 53.05 53.05
Element x y z (fractional)
Cs 0.0000 0.0000 0.0000
Cs 0.0000 0.5000 0.5000
Cs 0.5000 0.0000 0.5000
Cs 0.5000 0.5000 0.0000
Pr 0.0000 0.0000 0.5000
Pr 0.0000 0.5000 0.0000
Pr 0.5000 0.0000 0.0000
Tm 0.5000 0.5000 0.5000
Se 0.2311 0.2311 0.2311
Se 0.2409 0.7237 0.7237
Se 0.2763 0.2763 0.7591
Se 0.2763 0.7591 0.2763
Se 0.7237 0.2409 0.7237
Se 0.7237 0.7237 0.2409
Se 0.7591 0.2763 0.2763
Se 0.7689 0.7689 0.7689

Output
The calculation puts the raw formation energy at -2650 kJ/mol of formula units. Its crystal system is trigonal.

***

# PmU5Se6

A relaxed PmU5Se6 crystal (PBE, Alexandria).

a b c (Å): 6.9900 6.9900 7.0358
angles (deg): 99.30 99.30 117.98
Element x y z (fractional)
Pm 0.0000 0.0000 0.0000
U 0.1645 0.8355 0.5000
U 0.3362 0.6638 0.0000
U 0.5000 0.5000 0.5000
U 0.6638 0.3362 0.0000
U 0.8355 0.1645 0.5000
Se 0.0828 0.4212 0.2511
Se 0.2514 0.2514 0.7476
Se 0.4212 0.0828 0.2511
Se 0.5788 0.9172 0.7489
Se 0.7486 0.7486 0.2524
Se 0.9172 0.5788 0.7489

Output
The calculation puts the raw formation energy at -1275 kJ/mol of formula units. Its crystal system is monoclinic.

***

Across the entries above, uncorrected energy takes the values -5.213 -4.848 -7.943 eV/atom, respectively.